First-principles (PBE with a Hubbard U) data for an optimized crystal structure of Na2UW2O10, as listed in Alexandria.

POSCAR file:
```
Na2UW2O10
1.0
7.230 0.000 0.000
-2.076 7.348 0.000
-0.209 -0.069 8.552
Na U W O
4 2 4 20
direct
0.101 0.398 0.253
0.117 0.911 0.269
0.883 0.089 0.731
0.899 0.602 0.747
0.490 0.248 0.525
0.510 0.752 0.475
0.340 0.458 0.859
0.340 0.960 0.859
0.660 0.040 0.141
0.660 0.542 0.141
0.087 0.372 0.819
0.089 0.914 0.814
0.237 0.184 0.453
0.256 0.685 0.405
0.333 0.707 0.866
0.350 0.433 0.077
0.350 0.991 0.076
0.400 0.224 0.809
0.441 0.511 0.642
0.445 0.960 0.643
0.555 0.040 0.357
0.559 0.489 0.358
0.600 0.776 0.191
0.650 0.009 0.924
0.650 0.567 0.923
0.667 0.293 0.134
0.744 0.315 0.595
0.763 0.816 0.547
0.911 0.086 0.186
0.913 0.628 0.181
```

Uncorrected energy ... -225.8 eV per cell
Magnetization ... 0.00 μB per formula unit